Entry 1:
VASP calculation (PBE) on a geometry-optimized Tb2HN structure.

* DFT total energy: -6.179 eV/atom
* magnetic moment: 0.0 μB per formula unit

POSCAR file:
```
Tb2HN
1.0
-0.232 1.989 -2.840
1.259 -1.145 -3.030
-4.913 -2.142 -3.224
Tb H N
2 1 1
Direct
0.078 0.078 0.767 Tb
0.262 0.262 0.214 Tb
0.493 0.493 0.522 H
0.668 0.668 0.997 N
```

Entry 2:
VASP calculation (PBE) on a geometry-optimized TcHN structure.

* DFT total energy: -6.973 eV/atom
* magnetic moment: 0.2 μB per formula unit

POSCAR file:
```
TcHN
1.0
-1.611 -1.472 1.644
1.732 -2.104 -0.187
1.992 3.187 2.536
H Tc N
1 1 1
Direct
0.571 0.571 0.142 H
0.842 0.842 0.684 Tc
0.437 0.437 0.875 N
```

Entry 3:
VASP calculation (PBE) on a geometry-optimized Tc2HN structure.

* DFT total energy: -7.864 eV/atom
* magnetic moment: 0.0 μB per formula unit

POSCAR file:
```
Tc2HN
1.0
-1.078 -2.616 -3.259
-0.948 -3.124 2.822
-5.303 -1.373 -0.002
H Tc N
2 4 2
Direct
0.500 0.500 0.000 H
0.250 0.750 0.500 H
0.606 0.125 0.250 Tc
0.144 0.625 0.250 Tc
0.375 0.394 0.750 Tc
0.875 0.856 0.750 Tc
0.000 0.000 0.000 N
0.750 0.250 0.500 N
```

Entry 4:
VASP calculation (PBE) on a geometry-optimized TcHN2 structure.

* DFT total energy: -6.854 eV/atom
* magnetic moment: 0.0 μB per formula unit

POSCAR file:
```
TcHN2
1.0
-3.561 -0.115 2.353
1.393 -3.542 1.935
0.818 0.556 5.139
H Tc N
2 2 4
Direct
0.500 0.500 0.000 H
0.250 0.750 0.500 H
0.000 0.000 0.000 Tc
0.750 0.250 0.500 Tc
0.606 0.125 0.250 N
0.144 0.625 0.250 N
0.375 0.394 0.750 N
0.875 0.856 0.750 N
```

Entry 5:
VASP calculation (PBE) on a geometry-optimized TcHN structure.

* DFT total energy: -6.775 eV/atom
* magnetic moment: 0.0 μB per formula unit

POSCAR file:
```
TcHN
1.0
-1.427 3.294 -0.866
-1.826 0.079 3.312
3.451 1.540 0.169
H Tc N
2 2 2
Direct
0.750 0.619 0.169 H
0.250 0.831 0.381 H
0.250 0.342 0.190 Tc
0.750 0.810 0.658 Tc
0.250 0.630 0.798 N
0.750 0.202 0.370 N
```

Entry 6:
VASP calculation (PBE) on a geometry-optimized TcH3N structure.

* DFT total energy: -4.328 eV/atom
* magnetic moment: 0.0 μB per formula unit

POSCAR file:
```
TcH3N
1.0
-2.293 -1.223 -2.106
2.387 -1.701 -1.611
-0.482 -2.607 2.039
H Tc N
3 1 1
Direct
0.000 0.500 0.000 H
0.000 0.000 0.500 H
0.500 0.000 0.000 H
0.000 0.000 0.000 Tc
0.500 0.500 0.500 N
```

Entry 7:
VASP calculation (PBE) on a geometry-optimized TcHN2 structure.

* DFT total energy: -5.947 eV/atom
* magnetic moment: 0.0 μB per formula unit

POSCAR file:
```
TcHN2
1.0
1.618 0.000 5.116
-0.809 1.401 5.116
-0.809 -1.401 5.116
H Tc N
1 1 2
Direct
0.500 0.500 0.500 H
0.000 0.000 0.000 Tc
0.878 0.878 0.878 N
0.122 0.122 0.122 N
```

Entry 8:
VASP calculation (PBE) on a geometry-optimized Tc2HN structure.

* DFT total energy: -7.244 eV/atom
* magnetic moment: 0.0 μB per formula unit

POSCAR file:
```
Tc2HN
1.0
0.000 2.663 2.663
2.663 0.000 2.663
2.663 2.663 0.000
H Tc N
1 2 1
Direct
0.000 0.000 0.000 H
0.250 0.250 0.250 Tc
0.750 0.750 0.750 Tc
0.500 0.500 0.500 N
```

Entry 9:
VASP calculation (PBE) on a geometry-optimized TcHN2 structure.

* DFT total energy: -6.347 eV/atom
* magnetic moment: 0.0 μB per formula unit

POSCAR file:
```
TcHN2
1.0
0.000 2.480 2.480
2.480 0.000 2.480
2.480 2.480 0.000
H Tc N
1 1 2
Direct
0.000 0.000 0.000 H
0.500 0.500 0.500 Tc
0.250 0.250 0.250 N
0.750 0.750 0.750 N
```

Entry 10:
VASP calculation (PBE) on a geometry-optimized TcHN2 structure.

* DFT total energy: -7.395 eV/atom
* magnetic moment: 0.0 μB per formula unit

POSCAR file:
```
TcHN2
1.0
1.666 0.000 4.960
-0.833 1.442 4.960
-0.833 -1.442 4.960
H Tc N
1 1 2
Direct
0.000 0.000 0.000 H
0.500 0.500 0.500 Tc
0.915 0.915 0.915 N
0.085 0.085 0.085 N
```

Entry 11:
VASP calculation (PBE) on a geometry-optimized TcH3N structure.

* DFT total energy: -4.394 eV/atom
* magnetic moment: 0.0 μB per formula unit

POSCAR file:
```
TcH3N
1.0
-0.416 -2.908 1.049
-1.038 -0.866 -2.812
2.913 -0.724 -0.852
H Tc N
3 1 1
Direct
0.000 0.500 0.000 H
0.000 0.000 0.500 H
0.500 0.000 0.000 H
0.500 0.500 0.500 Tc
0.000 0.000 0.000 N
```

Entry 12:
VASP calculation (PBE) on a geometry-optimized TcHN structure.

* DFT total energy: -6.988 eV/atom
* magnetic moment: 1.0 μB per formula unit

POSCAR file:
```
TcHN
1.0
-4.336 -0.689 1.877
-1.009 -1.052 -2.718
1.203 -1.955 2.060
H Tc N
1 1 1
Direct
0.534 0.333 0.667 H
0.307 0.667 0.333 Tc
0.159 0.000 0.000 N
```

Which of these has the lowest DFT total energy? number 3

The lowest DFT total energy belongs to which entry? number 3

DFT total energy of number 10 (TcHN2)? -7.395 eV/atom